*w*
## TiBeAs3 (PBE-GGA)

Data for a relaxed structure of TiBeAs3.

Computed properties:
- Fermi-level density of states (states/eV per cell) = 5.57

a = 4.475 Å, b = 4.475 Å, c = 4.475 Å
α = 90.00°, β = 90.00°, γ = 90.00°
Fractional positions:
Ti: 0.000 0.000 0.000
Be: 0.500 0.500 0.500
As: 0.000 0.500 0.500
As: 0.500 0.000 0.500
As: 0.500 0.500 0.000

***

*x*
## TiBeAs3 (PBE-GGA)

Data for a relaxed structure of TiBeAs3.

Computed properties:
- Fermi-level density of states (states/eV per cell) = 3.47

a = 4.848 Å, b = 4.848 Å, c = 4.848 Å
α = 90.00°, β = 90.00°, γ = 90.00°
Fractional positions:
Ti: 0.000 0.000 0.000
Be: 0.500 0.500 0.500
As: 0.000 0.000 0.500
As: 0.000 0.500 0.000
As: 0.500 0.000 0.000

***

The energetic minimum among the shown structures is *w*; the next structure lies 145 meV per atom above.